[1]
This record from Alexandria via LeMat-Bulk describes crystalline Pm4CoIr at its relaxed geometry. The functional is GGA-PBE.

Unit cell a=6.4360 b=7.3619 c=8.1257 alpha=112.81 beta=108.75 gamma=99.49
With the nearest neighbours (Å) after each atom.
Fractional coordinates of all 12 atoms:
Co 0.7430 0.9930 0.9860  6 Pm 2.77-3.01
Co 0.2570 0.0070 0.0140  6 Pm 2.77-3.01
Ir 0.3876 0.6376 0.2753  8 Pm 2.89-3.20
Ir 0.6124 0.3624 0.7247  8 Pm 2.89-3.20
Pm 0.3480 0.9528 0.6371  2 Ir 2.89-3.08, 2 Co 3.01-3.19
Pm 0.6520 0.0472 0.3629  2 Ir 2.89-3.08, 2 Co 3.01-3.19
Pm 0.3714 0.6469 0.8805  2 Co 2.77-2.82, 1 Ir 2.94
Pm 0.7891 0.6843 0.6371  2 Ir 2.89-3.08, 2 Co 3.01-3.19
Pm 0.6286 0.3531 0.1195  2 Co 2.77-2.82, 1 Ir 2.94
Pm 0.0091 0.2336 0.8805  2 Co 2.77-2.82, 1 Ir 2.94
Pm 0.2109 0.3157 0.3629  2 Ir 2.89-3.08, 2 Co 3.01-3.19
Pm 0.9909 0.7664 0.1195  2 Co 2.77-2.82, 1 Ir 2.94

## Properties
- density (g cm⁻³) = 8.71
- energy relative to the lowest polymorph listed for this composition (eV/atom) = 0.000
- ΔE_f (eV/f.u.) = -1.85
- total magnetization (μB/f.u.) = 0.01
- density of states at the Fermi level (states/eV per atom) = 1.0119

[2]
This record from Alexandria via LeMat-Bulk describes crystalline Sc2SeO at its relaxed geometry. The functional is GGA-PBE.

Unit cell a=7.0080 b=7.0080 c=7.0080 alpha=32.97 beta=32.97 gamma=32.97
With the nearest neighbours (Å) after each atom.
Fractional coordinates of all 4 atoms:
Se 0.5000 0.5000 0.5000  6 Sc 2.71
Sc 0.9053 0.9053 0.9053  1 O 1.88
Sc 0.0947 0.0947 0.0947  1 O 1.88
O 0.0000 0.0000 0.0000  2 Sc 1.88

## Properties
- density (g cm⁻³) = 3.38
- energy relative to the lowest polymorph listed for this composition (eV/atom) = 0.210
- uncorrected formation energy (eV/atom) = -1.873
- total magnetization (μB/f.u.) = 0.00
- density of states at the Fermi level (states/eV per atom) = 0.2204

[3]
This record from Alexandria via LeMat-Bulk describes crystalline ErFe2C2 at its relaxed geometry. The functional is GGA-PBE.

Unit cell a=3.4463 b=3.4463 c=5.2810 alpha=109.04 beta=109.04 gamma=90.00
With the nearest neighbours (Å) after each atom.
Fractional coordinates of all 5 atoms:
Er 0.0000 0.0000 0.0000  8 C 2.84, 8 Fe 2.91
Fe 0.7500 0.2500 0.5000  4 C 1.93
Fe 0.2500 0.7500 0.5000  4 C 1.93
C 0.3437 0.3437 0.6873  4 Fe 1.93
C 0.6563 0.6563 0.3127  4 Fe 1.93

## Properties
- density (g cm⁻³) = 9.04
- energy relative to the lowest polymorph listed for this composition (eV/atom) = 0.061
- ΔE_f (eV/f.u.) = -1.07
- total magnetization (μB/f.u.) = 0.00
- density of states at the Fermi level (states/eV per atom) = 0.5132

[4]
This record from Alexandria via LeMat-Bulk describes crystalline LiNdZnGa2 at its relaxed geometry. The functional is GGA-PBE.

Unit cell a=4.2789 b=4.2789 c=6.1333 alpha=110.42 beta=110.42 gamma=90.00
With the nearest neighbours (Å) after each atom.
Fractional coordinates of all 5 atoms:
Ga 0.3838 0.3838 0.7677  1 Ga 2.48, 2 Li 2.57, 2 Zn 2.57
Ga 0.6162 0.6162 0.2323  1 Ga 2.48, 2 Li 2.57, 2 Zn 2.57
Zn 0.2500 0.7500 0.5000  4 Ga 2.57
Li 0.7500 0.2500 0.5000  4 Ga 2.57
Nd 0.0000 0.0000 0.0000  8 Ga 3.27, 4 Li 3.42, 4 Zn 3.42

## Properties
- density (g cm⁻³) = 6.05
- ΔE_f (eV/f.u.) = -2.29
- total magnetization (μB/f.u.) = 0.00
- density of states at the Fermi level (states/eV per atom) = 0.5008

[5]
This record from Alexandria via LeMat-Bulk describes crystalline GdZnPd at its relaxed geometry. The functional is GGA-PBE.

Unit cell a=4.6156 b=4.6156 c=4.6156 alpha=60.00 beta=60.00 gamma=60.00
With the nearest neighbours (Å) after each atom.
Fractional coordinates of all 3 atoms:
Zn 0.5000 0.5000 0.5000  4 Pd 2.83
Pd 0.2500 0.2500 0.2500  4 Gd 2.83, 4 Zn 2.83
Gd 0.0000 0.0000 0.0000  4 Pd 2.83

## Properties
- density (g cm⁻³) = 7.86
- energy relative to the lowest polymorph listed for this composition (eV/atom) = 0.190
- ΔE_f (eV/f.u.) = -1.61
- total magnetization (μB/f.u.) = 7.14
- density of states at the Fermi level (states/eV per atom) = 0.5159

[6]
This record from Alexandria via LeMat-Bulk describes crystalline Li2Mg2TeO6 at its relaxed geometry. The functional is GGA-PBE.

Unit cell a=5.2423 b=5.2423 c=5.2683 alpha=99.61 beta=99.61 gamma=118.80
With the nearest neighbours (Å) after each atom.
Fractional coordinates of all 11 atoms:
O 0.7652 0.7652 0.7151  1 Te 1.95, 2 Mg 2.10
O 0.9432 0.6232 0.2817  1 Te 1.97, 2 Mg 2.08-2.18, 1 Li 2.16
O 0.6232 0.9432 0.2817  1 Te 1.97, 2 Mg 2.08-2.18, 1 Li 2.16
O 0.3768 0.0568 0.7183  1 Te 1.97, 2 Mg 2.08-2.18, 1 Li 2.16
O 0.0568 0.3768 0.7183  1 Te 1.97, 2 Mg 2.08-2.18, 1 Li 2.16
O 0.2348 0.2348 0.2849  1 Te 1.95, 2 Mg 2.10
Mg 0.6637 0.3363 0.5000  6 O 2.08-2.18
Mg 0.3363 0.6637 0.5000  6 O 2.08-2.18
Te 0.0000 0.0000 0.5000  6 O 1.95-1.97
Li 0.1683 0.8317 0.0000  6 O 2.16-2.33
Li 0.8317 0.1683 0.0000  6 O 2.16-2.33

## Properties
- density (g cm⁻³) = 3.96
- uncorrected formation energy (eV/atom) = -1.984
- total magnetization (μB/f.u.) = 0.00
- density of states at the Fermi level (states/eV per atom) = 0.0000

[7]
This record from Alexandria via LeMat-Bulk describes crystalline LiMnIn2 at its relaxed geometry. The functional is GGA-PBE.

Unit cell a=4.8220 b=4.8220 c=4.8220 alpha=60.00 beta=60.00 gamma=60.00
With the nearest neighbours (Å) after each atom.
Fractional coordinates of all 4 atoms:
In 0.2500 0.2500 0.2500  4 In 2.95, 4 Li 2.95
In 0.0000 0.0000 0.0000  4 Mn 2.95, 4 In 2.95
Mn 0.7500 0.7500 0.7500  4 In 2.95, 4 Li 2.95
Li 0.5000 0.5000 0.5000  4 In 2.95, 4 Mn 2.95

## Properties
- density (g cm⁻³) = 6.11
- ΔE_f (eV/f.u.) = 0.64
- total magnetization (μB/f.u.) = 3.86
- density of states at the Fermi level (states/eV per atom) = 0.5089

[8]
This record from Alexandria via LeMat-Bulk describes crystalline Sm3TcO7 at its relaxed geometry. The functional is GGA-PBE.

Unit cell a=6.6094 b=6.6094 c=7.5688 alpha=90.00 beta=90.00 gamma=108.49
With the nearest neighbours (Å) after each atom.
Fractional coordinates of all 22 atoms:
O 0.0796 0.3222 0.5228  1 Tc 2.04
O 0.3701 0.6299 0.2500  4 Sm 2.34-2.37
O 0.9339 0.0661 0.2500  2 Tc 2.02
O 0.6372 0.3628 0.2500  4 Sm 2.29-2.42
O 0.9547 0.7016 0.4598  1 Tc 1.92
O 0.3222 0.0796 0.4772  1 Tc 2.04
O 0.0661 0.9339 0.7500  2 Tc 2.02
O 0.0453 0.2984 0.9598  1 Tc 1.92
O 0.9204 0.6778 0.0228  1 Tc 2.04
O 0.6299 0.3701 0.7500  4 Sm 2.34-2.37
O 0.7016 0.9547 0.5402  1 Tc 1.92
O 0.2984 0.0453 0.0402  1 Tc 1.92
O 0.6778 0.9204 0.9772  1 Tc 2.04
O 0.3628 0.6372 0.7500  4 Sm 2.29-2.42
Sm 0.0013 0.4617 0.2411  7 O 2.29-2.51
Sm 0.5383 0.9987 0.2589  7 O 2.29-2.51
Sm 0.4617 0.0013 0.7589  7 O 2.29-2.51
Sm 0.9987 0.5383 0.7411  7 O 2.29-2.51
Sm 0.5408 0.5408 0.0000  6 O 2.37-2.42
Sm 0.4592 0.4592 0.5000  6 O 2.37-2.42
Tc 0.9986 0.9986 0.5000  6 O 1.92-2.04
Tc 0.0014 0.0014 0.0000  6 O 1.92-2.04

## Properties
- density (g cm⁻³) = 7.00
- uncorrected formation energy (eV/atom) = -2.816
- total magnetization (μB/f.u.) = 2.00
- density of states at the Fermi level (states/eV per atom) = 0.2896

[9]
This record from Alexandria via LeMat-Bulk describes crystalline PmCo3Sn5 at its relaxed geometry. The functional is GGA-PBE.

Unit cell a=7.1468 b=7.1468 c=9.4467 alpha=66.53 beta=66.53 gamma=75.81
With the nearest neighbours (Å) after each atom.
Fractional coordinates of all 18 atoms:
Sn 0.3001 0.6999 0.0000  3 Co 2.64
Sn 0.0635 0.6188 0.6617  3 Co 2.45-2.57
Sn 0.2411 0.2411 0.9618  3 Co 2.52-2.56
Sn 0.3812 0.9365 0.3383  3 Co 2.45-2.57
Sn 0.5836 0.5836 0.6453  3 Co 2.48-2.54
Sn 0.7589 0.7589 0.0382  3 Co 2.52-2.56
Sn 0.9365 0.3812 0.3383  3 Co 2.45-2.57
Sn 0.6188 0.0635 0.6617  3 Co 2.45-2.57
Sn 0.6999 0.3001 0.0000  3 Co 2.64
Sn 0.4164 0.4164 0.3547  3 Co 2.48-2.54
Co 0.3611 0.3611 0.6511  5 Sn 2.45-2.54
Co 0.6389 0.6389 0.3489  5 Sn 2.45-2.54
Co 0.3069 0.3069 0.1797  6 Sn 2.51-2.64
Co 0.6931 0.6931 0.8203  6 Sn 2.51-2.64
Co 0.0000 0.0000 0.0000  2 Pm 2.49, 4 Sn 2.56-2.64
Co 0.0000 0.0000 0.5000  4 Sn 2.57, 2 Pm 2.58
Pm 0.9048 0.9048 0.3024  2 Co 2.49-2.58
Pm 0.0952 0.0952 0.6976  2 Co 2.49-2.58

## Properties
- density (g cm⁻³) = 7.53
- ΔE_f (eV/f.u.) = -1.11
- total magnetization (μB/f.u.) = 0.00
- density of states at the Fermi level (states/eV per atom) = 0.4995

[10]
This record from Alexandria via LeMat-Bulk describes crystalline Pr5Nd8Sm at its relaxed geometry. The functional is GGA-PBE.

Unit cell a=8.6986 b=8.6986 c=8.6986 alpha=111.07 beta=106.31 gamma=111.07
With the nearest neighbours (Å) after each atom.
Fractional coordinates of all 14 atoms:
Nd 0.7249 0.2544 0.3284  5 Pr 3.44-3.67, 3 Nd 3.71-3.79
Nd 0.5295 0.6035 0.2751  5 Pr 3.44-3.67, 3 Nd 3.71-3.79
Nd 0.3360 0.2646 0.4390  1 Sm 3.21, 3 Pr 3.23-3.51
Nd 0.0740 0.7456 0.4705  5 Pr 3.44-3.67, 3 Nd 3.71-3.79
Nd 0.1744 0.7354 0.0714  1 Sm 3.21, 3 Pr 3.23-3.51
Nd 0.6716 0.3965 0.9260  5 Pr 3.44-3.67, 3 Nd 3.71-3.79
Nd 0.9286 0.1030 0.6640  1 Sm 3.21, 3 Pr 3.23-3.51
Nd 0.5610 0.8970 0.8256  1 Sm 3.21, 3 Pr 3.23-3.51
Pr 0.5000 0.0000 0.5000  8 Nd 3.23-3.44
Pr 0.2843 0.1026 0.9674  8 Nd 3.46-3.70, 2 Pr 3.63
Pr 0.0326 0.3169 0.1352  8 Nd 3.46-3.70, 2 Pr 3.63
Pr 0.8648 0.8974 0.1817  8 Nd 3.46-3.70, 2 Pr 3.63
Pr 0.8183 0.6831 0.7157  8 Nd 3.46-3.70, 2 Pr 3.63
Sm 0.2500 0.5000 0.7500  4 Nd 3.21

## Properties
- density (g cm⁻³) = 6.60
- ΔE_f (eV/f.u.) = 3.11
- total magnetization (μB/f.u.) = 0.00
- density of states at the Fermi level (states/eV per atom) = 1.4687

[11]
This record from Alexandria via LeMat-Bulk describes crystalline LiCd6Au3 at its relaxed geometry. The functional is GGA-PBE.

Unit cell a=6.9514 b=8.0932 c=8.0932 alpha=100.57 beta=90.00 gamma=90.00
With the nearest neighbours (Å) after each atom.
Fractional coordinates of all 20 atoms:
Li 0.1185 0.2044 0.7956  3 Au 2.82-2.89, 2 Cd 3.05
Li 0.6185 0.7956 0.2044  3 Au 2.82-2.89, 2 Cd 3.05
Cd 0.7762 0.4480 0.0597  3 Au 2.77-2.90, 1 Cd 2.94, 1 Li 3.05
Cd 0.6653 0.2812 0.7188  3 Au 2.84-3.11, 5 Cd 2.94-3.00
Cd 0.1653 0.7188 0.2812  3 Au 2.84-3.11, 5 Cd 2.94-3.00
Cd 0.6217 0.2799 0.3498  4 Au 2.85-2.91, 3 Cd 3.00-3.18
Cd 0.1217 0.3498 0.2799  4 Au 2.85-2.91, 3 Cd 3.00-3.18
Cd 0.6217 0.6502 0.7201  4 Au 2.85-2.91, 3 Cd 3.00-3.18
Cd 0.2762 0.0597 0.4480  3 Au 2.77-2.90, 1 Cd 2.94, 1 Li 3.05
Cd 0.7762 0.9403 0.5520  3 Au 2.77-2.90, 1 Cd 2.94, 1 Li 3.05
Cd 0.2762 0.5520 0.9403  3 Au 2.77-2.90, 1 Cd 2.94, 1 Li 3.05
Cd 0.2477 0.9531 0.0469  4 Au 2.79-2.89, 1 Cd 2.97
Cd 0.1217 0.7201 0.6502  4 Au 2.85-2.91, 3 Cd 3.00-3.18
Cd 0.7477 0.0469 0.9531  4 Au 2.79-2.89, 1 Cd 2.97
Au 0.3236 0.4066 0.5934  7 Cd 2.84-2.91, 1 Li 2.89
Au 0.8236 0.5934 0.4066  7 Cd 2.84-2.91, 1 Li 2.89
Au 0.9172 0.7368 0.9655  6 Cd 2.77-2.90, 1 Li 2.82, 1 Au 3.08
Au 0.9172 0.0345 0.2632  6 Cd 2.77-2.90, 1 Li 2.82, 1 Au 3.08
Au 0.4172 0.2632 0.0345  6 Cd 2.77-2.90, 1 Li 2.82, 1 Au 3.08
Au 0.4172 0.9655 0.7368  6 Cd 2.77-2.90, 1 Li 2.82, 1 Au 3.08

## Properties
- density (g cm⁻³) = 9.44
- energy relative to the lowest polymorph listed for this composition (eV/atom) = 0.029
- ΔE_f (eV/f.u.) = -1.29
- total magnetization (μB/f.u.) = 0.00
- density of states at the Fermi level (states/eV per atom) = 0.3002